VASP calculation (PBE-GGA) on a geometry-optimized LaAg2Sb2 structure.

```
LaAg2Sb2
1.0
4.428 0.000 -0.787
0.000 4.467 0.000
-0.029 0.000 12.688
Sb Ag La
4 4 2
Direct
0.750 0.250 0.500
0.890 0.750 0.780
0.110 0.250 0.220
0.250 0.750 0.500
0.462 0.750 0.925
0.963 0.250 0.926
0.538 0.250 0.075
0.037 0.750 0.074
0.352 0.250 0.703
0.648 0.750 0.297
```

## Properties
DOS(E_F): 3.4 states/eV/cell
magnetization: 0.00 Bohr magnetons per cell
polymorph energy (0 for the lowest one): 0.000 eV per atom
space-group type: Cmcm, No. 63

=====

VASP calculation (PBE-GGA) on a geometry-optimized La2AgSb structure.

```
La2AgSb
1.0
-3.230 5.410 1.000
-4.734 0.017 4.276
6.086 -1.887 -0.312
La Sb Ag
2 1 1
Direct
0.000 0.000 0.000
0.250 0.750 0.500
0.500 0.500 0.000
0.750 0.250 0.500
```

## Properties
DOS(E_F): 2.3 states/eV/cell
magnetization: 0.00 Bohr magnetons per cell
raw total energy: -19.305 eV/f.u.
space-group type: I-4m2, No. 119

=====

VASP calculation (PBE-GGA) on a geometry-optimized LaAg2Sb2 structure.

```
LaAg2Sb2
1.0
8.551 0.000 0.000
0.000 8.551 0.000
0.000 0.000 3.451
Ag La Sb
4 2 4
Direct
0.360 0.140 0.500
0.860 0.360 0.500
0.140 0.640 0.500
0.640 0.860 0.500
0.500 0.500 0.000
0.000 0.000 0.000
0.156 0.344 0.000
0.344 0.844 0.000
0.844 0.656 0.000
0.656 0.156 0.000
```

## Properties
DOS(E_F): 8.3 states/eV/cell
magnetization: 0.22 Bohr magnetons per cell
polymorph energy (0 for the lowest one): 0.327 eV per atom
space-group type: P4/mbm, No. 127

=====

VASP calculation (PBE-GGA) on a geometry-optimized LaAgSb2 structure.

```
LaAgSb2
1.0
-2.417 1.531 -5.363
-6.066 0.342 -0.186
4.554 2.216 3.361
Sb La Ag
2 1 1
Direct
0.990 0.990 0.000
0.739 0.239 0.500
0.252 0.752 0.500
0.519 0.519 0.000
```

## Properties
DOS(E_F): 1.3 states/eV/cell
magnetization: 0.00 Bohr magnetons per cell
polymorph energy (0 for the lowest one): 0.230 eV per atom
space-group type: Imm2, No. 44

=====

VASP calculation (PBE-GGA) on a geometry-optimized LaAgSb structure.

```
LaAgSb
1.0
3.404 0.000 0.000
-1.702 2.948 0.000
0.000 0.000 8.015
La Ag Sb
1 1 1
Direct
0.667 0.333 0.329
0.000 0.000 0.990
0.333 0.667 0.681
```

## Properties
DOS(E_F): 3.1 states/eV/cell
magnetization: 0.00 Bohr magnetons per cell
raw total energy: -12.081 eV/f.u.
space-group type: P3m1, No. 156

=====

VASP calculation (PBE-GGA) on a geometry-optimized La2Ag2Sb structure.

```
La2Ag2Sb
1.0
3.982 0.000 0.000
0.000 3.982 0.000
1.991 1.991 8.887
La Sb Ag
2 1 2
Direct
0.604 0.604 0.793
0.396 0.396 0.207
0.000 0.000 0.000
0.250 0.750 0.500
0.750 0.250 0.500
```

## Properties
DOS(E_F): 3.8 states/eV/cell
magnetization: 0.74 Bohr magnetons per cell
polymorph energy (0 for the lowest one): 0.063 eV per atom
space-group type: I4/mmm, No. 139

=====

VASP calculation (PBE-GGA) on a geometry-optimized LaAg2Sb structure.

```
LaAg2Sb
1.0
6.414 -0.008 0.031
-3.275 5.514 0.031
0.796 1.396 2.921
Ag La Sb
2 1 1
Direct
0.500 0.500 0.000
0.000 0.000 0.000
0.500 0.000 0.500
0.000 0.500 0.500
```

## Properties
DOS(E_F): 3.0 states/eV/cell
magnetization: 0.32 Bohr magnetons per cell
raw total energy: -15.298 eV/f.u.
space-group type: C2/m, No. 12

=====

VASP calculation (PBE-GGA) on a geometry-optimized LaAgSb2 structure.

```
LaAgSb2
1.0
-3.975 0.708 1.844
-1.605 -3.353 -2.173
1.322 -4.242 4.478
La Sb Ag
1 2 1
Direct
0.500 0.750 0.750
0.000 0.313 0.517
0.000 0.187 0.983
0.500 0.250 0.250
```

## Properties
DOS(E_F): 1.8 states/eV/cell
magnetization: 0.00 Bohr magnetons per cell
polymorph energy (0 for the lowest one): 0.248 eV per atom
space-group type: P2/m, No. 10

=====

VASP calculation (PBE-GGA) on a geometry-optimized LaAgSb2 structure.

```
LaAgSb2
1.0
-5.592 -0.291 0.508
-0.012 -2.863 -1.771
0.608 -3.063 4.943
Sb Ag La
2 1 1
Direct
0.000 0.249 0.941
0.500 0.249 0.307
0.000 0.253 0.452
0.500 0.749 0.800
```

## Properties
DOS(E_F): 2.5 states/eV/cell
magnetization: 0.30 Bohr magnetons per cell
polymorph energy (0 for the lowest one): 0.292 eV per atom
space-group type: Pm, No. 6

=====

VASP calculation (PBE-GGA) on a geometry-optimized La4AgSb structure.

```
La4AgSb
1.0
0.000 4.552 4.552
4.552 0.000 4.552
4.552 4.552 0.000
La Sb Ag
4 1 1
Direct
0.377 0.869 0.377
0.377 0.377 0.377
0.869 0.377 0.377
0.377 0.377 0.869
0.750 0.750 0.750
0.000 0.000 0.000
```

## Properties
DOS(E_F): 8.8 states/eV/cell
magnetization: 0.00 Bohr magnetons per cell
raw total energy: -26.179 eV/f.u.
space-group type: F-43m, No. 216

=====

VASP calculation (PBE-GGA) on a geometry-optimized LaAg2Sb structure.

```
LaAg2Sb
1.0
9.529 -0.004 -0.002
8.865 3.496 -0.002
8.865 1.683 3.064
Ag Sb La
2 1 1
Direct
0.260 0.260 0.260
0.997 0.997 0.997
0.739 0.739 0.739
0.505 0.505 0.505
```

## Properties
DOS(E_F): 3.3 states/eV/cell
magnetization: 0.00 Bohr magnetons per cell
raw total energy: -14.761 eV/f.u.
space-group type: R3m, No. 160

=====

VASP calculation (PBE-GGA) on a geometry-optimized LaAgSb2 structure.

```
LaAgSb2
1.0
10.189 -0.006 -0.004
9.584 3.457 -0.004
9.584 1.673 3.025
Sb Ag La
2 1 1
Direct
0.510 0.510 0.510
0.990 0.990 0.990
0.250 0.250 0.250
0.750 0.750 0.750
```

## Properties
DOS(E_F): 2.1 states/eV/cell
magnetization: 0.00 Bohr magnetons per cell
polymorph energy (0 for the lowest one): 0.566 eV per atom
space-group type: R-3m, No. 166